No. 1
14
Lattice="-3.7406 4.9465 -5.3782 -5.6081 -4.2075 4.2697 4.5251 4.5668 5.1042" Properties=species:S:1:pos:R:3 comment="Nd8GaSb5 | the Alexandria database | GGA-PBE | relaxed" crystal_system=tetragonal raw_formation_energy_ev_per_atom=-0.97 final_energy_ev_per_atom=-5.380 pbc="T T T"
Nd -4.5975 -2.4571 2.5418
Nd -1.0408 7.7570 -1.0831
Nd -2.5844 4.4795 -1.1473
Nd -0.5818 5.4148 2.7915
Nd -4.1611 0.8705 1.1760
Nd -3.3067 3.3235 4.9126
Nd -0.7023 1.9881 1.6202
Nd -2.3200 -0.1533 5.1713
Ga -0.3454 2.5579 4.6185
Sb -5.2534 3.9211 -3.1402
Sb -7.0492 1.8040 0.2796
Sb -3.5096 3.9204 1.8272
Sb 0.3922 4.7566 -0.1370
Sb -2.1007 1.3459 -1.4575

=====

No. 2
5
Lattice="-2.8112 2.1953 1.9898 -2.6357 -3.1060 -0.2970 1.4936 -1.6424 3.9222" Properties=species:S:1:pos:R:3 comment="TaTi2NbO | the Alexandria database | GGA-PBE | relaxed" polymorph_energy_mev_per_atom=0.0 crystal_system=tetragonal raw_formation_energy_ev_per_atom=-0.93 final_energy_ev_per_atom=-9.467 pbc="T T T"
Nb 0.7468 -0.8212 1.9611
Ti -1.3178 -1.5530 -0.1485
Ti -1.4056 1.0977 0.9949
O 0.0000 0.0000 0.0000
Ta -1.9766 -1.2765 2.8075